VASP calculation (PBE+U) on a geometry-optimized TiVNF2 structure.

Calculated values
Its space group is No. 123. For the total energy, the calculation gives -6.87 eV per atom. As for the energy above the most stable polymorph in this dataset: 0.000 eV/atom.

a b c (Å): 3.9681 3.9681 4.0152
angles (deg): 90.00 90.00 90.00
With the nearest neighbours (Å) after each atom.
Element x y z (fractional)
Ti 0.0000 0.0000 0.0000  4 F 1.98, 2 N 2.01
V 0.5000 0.5000 0.5000  4 N 2.81, 8 F 2.82
N 0.0000 0.0000 0.5000  2 Ti 2.01
F 0.0000 0.5000 0.0000  2 Ti 1.98
F 0.5000 0.0000 0.0000  2 Ti 1.98